Compound: CaLaZn4
Source: Alexandria via LeMat-Bulk
Functional: GGA-PBEsol
Structure: relaxed

Its density of states at the Fermi level is 0.522 states/eV per atom. As for the energy of formation from the pure elements: -0.29 eV/atom.

It has space group F-43m (No. 216), with a = 7.782 Å, b = 7.782 Å, c = 7.782 Å, α = 90.00°, β = 90.00° and γ = 90.00°. The inequivalent atoms are Ca at (0.000, 0.000, 0.000), La at (0.250, 0.250, 0.250) and Zn at (0.124, 0.124, 0.624).

---

Compound: Be2HgAs
Source: Alexandria via LeMat-Bulk
Functional: GGA-PBEsol
Structure: relaxed

Its density of states at the Fermi level is 0.320 states/eV per atom. As for the energy of formation from the pure elements: 0.48 eV/atom.

It has space group C2/m (No. 12), with a = 7.665 Å, b = 5.652 Å, c = 3.015 Å, α = 90.00°, β = 109.53° and γ = 90.00°. The inequivalent atoms are Be at (0.250, 0.250, 0.000), Hg at (0.000, 0.000, 0.500) and As at (0.000, 0.500, 0.500).

---

Compound: CaSi2Pt
Source: Alexandria via LeMat-Bulk
Functional: GGA-PBEsol
Structure: relaxed

Its density of states at the Fermi level is 0.284 states/eV per atom. The calculation puts the uncorrected formation energy at -760 meV/atom.

It has space group C2/m (No. 12), with a = 7.208 Å, b = 3.960 Å, c = 5.662 Å, α = 90.00°, β = 112.68° and γ = 90.00°. The inequivalent atoms are Ca at (0.000, 0.000, 0.000), Si at (0.218, 0.000, 0.642) and Pt at (0.000, 0.500, 0.500).

---

Compound: ZrSiSb2Pt
Source: Alexandria via LeMat-Bulk
Functional: GGA-PBEsol
Structure: relaxed

Its density of states at the Fermi level is 0.800 states/eV per atom. The calculation puts the uncorrected formation energy at 395 meV/atom.

It has space group P4/mmm (No. 123), with a = 5.119 Å, b = 5.119 Å, c = 4.429 Å, α = 90.00°, β = 90.00° and γ = 90.00°. The inequivalent atoms are Zr at (0.000, 0.000, 0.000), Si at (0.500, 0.500, 0.500), Sb at (0.000, 0.500, 0.500) and Pt at (0.500, 0.500, 0.000).